First-principles (PBE) data for an optimized crystal structure of Ca2GaBi, as listed in Alexandria.

Lattice parameters (Å, degrees): 5.0889 5.0889 4.3534 90.00 90.00 90.00
Element x y z (fractional)
Ca 0.0000 0.5000 0.0000
Ca 0.5000 0.0000 0.0000
Ga 0.0000 0.0000 0.5000
Bi 0.5000 0.5000 0.5000

E_tot in eV per atom: -3.30
Size of the total moment in μB/f.u.: 0.000
ΔH_f (0 K) in eV/atom: -0.575
E above lowest polymorph in eV/atom: 0.0000